Arrangement i

The following is a DFT calculation (PBE) of a geometry-optimized PaTcRu2 structure.

Cell and atoms, written as CIF:
```
data_PaTcRu2
_symmetry_space_group_name_H-M 'P 4/m m m'
_symmetry_Int_Tables_number 123
_symmetry_space_group_name_Hall '-P 4 2'
_cell_length_a 4.086
_cell_length_b 4.086
_cell_length_c 4.004
_cell_angle_alpha 90.00
_cell_angle_beta 90.00
_cell_angle_gamma 90.00
loop_
_atom_site_label
_atom_site_fract_x
_atom_site_fract_y
_atom_site_fract_z
Pa1 0.000 0.000 0.000
Tc1 0.500 0.500 0.000
Ru1 0.000 0.500 0.500
```

Properties
Theoretical density: 13.2 Mg/m³

=====

Arrangement ii

The following is a DFT calculation (PBE) of a geometry-optimized PaTcRu2 structure.

Cell and atoms, written as CIF:
```
data_PaTcRu2
_symmetry_space_group_name_H-M 'R -3 m'
_symmetry_Int_Tables_number 166
_symmetry_space_group_name_Hall '-R 3 2"'
_cell_length_a 4.6402
_cell_length_b 4.6402
_cell_length_c 11.3066
_cell_angle_alpha 90.00
_cell_angle_beta 90.00
_cell_angle_gamma 120.00
loop_
_atom_site_label
_atom_site_fract_x
_atom_site_fract_y
_atom_site_fract_z
Pa1 0.0000 0.0000 0.0000
Tc1 0.0000 0.0000 0.5000
Ru1 0.0000 0.0000 0.2189
```

Properties
Theoretical density: 12.6 Mg/m³

=====

Stability comparison, relative energies in eV/atom: arrangement i 0.000; arrangement ii 0.202

=====

Arrangement i

The following is a DFT calculation (PBE) of a geometry-optimized PaTcRu structure.

Cell and atoms, written as CIF:
```
data_PaTcRu
_symmetry_space_group_name_H-M 'P 3 m 1'
_symmetry_Int_Tables_number 156
_symmetry_space_group_name_Hall 'P 3 -2"'
_cell_length_a 4.0690
_cell_length_b 4.0690
_cell_length_c 4.1868
_cell_angle_alpha 90.00
_cell_angle_beta 90.00
_cell_angle_gamma 120.00
loop_
_atom_site_label
_atom_site_fract_x
_atom_site_fract_y
_atom_site_fract_z
Pa1 0.0000 0.0000 0.0000
Tc1 0.6667 0.3333 0.5808
Ru1 0.3333 0.6667 0.4246
```

Properties
Theoretical density: 11.9 Mg/m³

=====

Arrangement ii

The following is a DFT calculation (PBE) of a geometry-optimized PaTcRu structure.

Cell and atoms, written as CIF:
```
data_PaTcRu
_symmetry_space_group_name_H-M 'P 63/m m c'
_symmetry_Int_Tables_number 194
_symmetry_space_group_name_Hall '-P 6c 2c'
_cell_length_a 4.5634
_cell_length_b 4.5634
_cell_length_c 5.8995
_cell_angle_alpha 90.00
_cell_angle_beta 90.00
_cell_angle_gamma 120.00
loop_
_atom_site_label
_atom_site_fract_x
_atom_site_fract_y
_atom_site_fract_z
Pa1 0.3333 0.6667 0.2500
Tc1 0.3333 0.6667 0.7500
Ru1 0.0000 0.0000 0.0000
```

Properties
Theoretical density: 13.4 Mg/m³

=====

Stability comparison, relative energies in eV/atom: arrangement i 0.238; arrangement ii 0.000

=====

Arrangement i

The following is a DFT calculation (PBE) of a geometry-optimized PaTcRu structure.

Cell and atoms, written as CIF:
```
data_PaTcRu
_symmetry_space_group_name_H-M 'I 4 m m'
_symmetry_Int_Tables_number 107
_symmetry_space_group_name_Hall 'I 4 -2'
_cell_length_a 3.701
_cell_length_b 3.701
_cell_length_c 8.043
_cell_angle_alpha 90.00
_cell_angle_beta 90.00
_cell_angle_gamma 90.00
loop_
_atom_site_label
_atom_site_fract_x
_atom_site_fract_y
_atom_site_fract_z
Pa1 0.000 0.000 0.000
Tc1 0.000 0.000 0.305
Ru1 0.000 0.000 0.688
```

Properties
Theoretical density: 13.0 Mg/m³

=====

Arrangement ii

The following is a DFT calculation (PBE) of a geometry-optimized PaTcRu structure.

Cell and atoms, written as CIF:
```
data_PaTcRu
_symmetry_space_group_name_H-M 'C m c m'
_symmetry_Int_Tables_number 63
_symmetry_space_group_name_Hall '-C 2c 2'
_cell_length_a 5.172
_cell_length_b 6.608
_cell_length_c 6.652
_cell_angle_alpha 90.00
_cell_angle_beta 90.00
_cell_angle_gamma 90.00
loop_
_atom_site_label
_atom_site_fract_x
_atom_site_fract_y
_atom_site_fract_z
Pa1 0.000 0.000 0.000
Tc1 0.000 0.302 0.250
Ru1 0.000 0.309 0.750
```

Properties
Theoretical density: 12.6 Mg/m³

=====

Stability comparison, relative energies in eV/atom: arrangement i 0.000; arrangement ii 0.026

=====

Arrangement i

The following is a DFT calculation (PBE) of a geometry-optimized PaZnTcRu structure.

Cell and atoms, written as CIF:
```
data_PaZnTcRu
_symmetry_space_group_name_H-M 'F -4 3 m'
_symmetry_Int_Tables_number 216
_symmetry_space_group_name_Hall 'F -4 2 3'
_cell_length_a 6.491
_cell_length_b 6.491
_cell_length_c 6.491
_cell_angle_alpha 90.00
_cell_angle_beta 90.00
_cell_angle_gamma 90.00
loop_
_atom_site_label
_atom_site_fract_x
_atom_site_fract_y
_atom_site_fract_z
Pa1 0.000 0.000 0.000
Zn1 0.000 0.000 0.500
Tc1 0.250 0.250 0.250
Ru1 0.250 0.250 0.750
```

Properties
Theoretical density: 12.0 Mg/m³

=====

Arrangement ii

The following is a DFT calculation (PBE) of a geometry-optimized PaZnTcRu structure.

Cell and atoms, written as CIF:
```
data_PaZnTcRu
_symmetry_space_group_name_H-M 'P m m m'
_symmetry_Int_Tables_number 47
_symmetry_space_group_name_Hall '-P 2 2'
_cell_length_a 3.631
_cell_length_b 4.275
_cell_length_c 4.341
_cell_angle_alpha 90.00
_cell_angle_beta 90.00
_cell_angle_gamma 90.00
loop_
_atom_site_label
_atom_site_fract_x
_atom_site_fract_y
_atom_site_fract_z
Pa1 0.000 0.000 0.000
Zn1 0.000 0.500 0.500
Tc1 0.500 0.000 0.500
Ru1 0.500 0.500 0.000
```

Properties
Theoretical density: 12.2 Mg/m³

=====

Stability comparison, relative energies in eV/atom: arrangement i 0.100; arrangement ii 0.000

=====

Arrangement i

The following is a DFT calculation (PBE) of a geometry-optimized Pa2TeRu structure.

Cell and atoms, written as CIF:
```
data_Pa2TeRu
_symmetry_space_group_name_H-M 'P 4/m m m'
_symmetry_Int_Tables_number 123
_symmetry_space_group_name_Hall '-P 4 2'
_cell_length_a 3.390
_cell_length_b 3.390
_cell_length_c 7.894
_cell_angle_alpha 90.00
_cell_angle_beta 90.00
_cell_angle_gamma 90.00
loop_
_atom_site_label
_atom_site_fract_x
_atom_site_fract_y
_atom_site_fract_z
Pa1 0.000 0.000 0.226
Te1 0.500 0.500 0.500
Ru1 0.500 0.500 0.000
```

Properties
Theoretical density: 12.6 Mg/m³

=====

Arrangement ii

The following is a DFT calculation (PBE) of a geometry-optimized Pa2TeRu structure.

Cell and atoms, written as CIF:
```
data_Pa2TeRu
_symmetry_space_group_name_H-M 'R -3 m'
_symmetry_Int_Tables_number 166
_symmetry_space_group_name_Hall '-R 3 2"'
_cell_length_a 4.0054
_cell_length_b 4.0054
_cell_length_c 22.3096
_cell_angle_alpha 90.00
_cell_angle_beta 90.00
_cell_angle_gamma 120.00
loop_
_atom_site_label
_atom_site_fract_x
_atom_site_fract_y
_atom_site_fract_z
Pa1 0.0000 0.0000 0.2350
Te1 0.0000 0.0000 0.0000
Ru1 0.0000 0.0000 0.5000
```

Properties
Theoretical density: 11.1 Mg/m³

=====

Stability comparison, relative energies in eV/atom: arrangement i 0.156; arrangement ii 0.000

=====

Arrangement i

The following is a DFT calculation (PBE) of a geometry-optimized ThPaRu structure.

Cell and atoms, written as CIF:
```
data_ThPaRu
_symmetry_space_group_name_H-M 'I 4 m m'
_symmetry_Int_Tables_number 107
_symmetry_space_group_name_Hall 'I 4 -2'
_cell_length_a 3.584
_cell_length_b 3.584
_cell_length_c 11.172
_cell_angle_alpha 90.00
_cell_angle_beta 90.00
_cell_angle_gamma 90.00
loop_
_atom_site_label
_atom_site_fract_x
_atom_site_fract_y
_atom_site_fract_z
Th1 0.000 0.000 0.000
Pa1 0.000 0.000 0.298
Ru1 0.000 0.000 0.695
```

Properties
Theoretical density: 13.1 Mg/m³

=====

Arrangement ii

The following is a DFT calculation (PBE) of a geometry-optimized ThPaRu structure.

Cell and atoms, written as CIF:
```
data_ThPaRu
_symmetry_space_group_name_H-M 'C 1 m 1'
_symmetry_Int_Tables_number 8
_symmetry_space_group_name_Hall 'C -2y'
_cell_length_a 12.242
_cell_length_b 3.741
_cell_length_c 8.468
_cell_angle_alpha 90.00
_cell_angle_beta 130.07
_cell_angle_gamma 90.00
loop_
_atom_site_label
_atom_site_fract_x
_atom_site_fract_y
_atom_site_fract_z
Th1 0.000 0.000 0.000
Th2 0.137 0.000 0.571
Pa1 0.357 0.000 0.148
Pa2 0.395 0.000 0.569
Ru1 0.166 0.500 0.920
Ru2 0.225 0.500 0.310
```

Properties
Theoretical density: 12.6 Mg/m³

=====

Stability comparison, relative energies in eV/atom: arrangement i 0.000; arrangement ii 0.052

=====

Arrangement i

The following is a DFT calculation (PBE) of a geometry-optimized PaTiRu structure.

Cell and atoms, written as CIF:
```
data_PaTiRu
_symmetry_space_group_name_H-M 'P 3 m 1'
_symmetry_Int_Tables_number 156
_symmetry_space_group_name_Hall 'P 3 -2"'
_cell_length_a 4.5540
_cell_length_b 4.5540
_cell_length_c 2.9970
_cell_angle_alpha 90.00
_cell_angle_beta 90.00
_cell_angle_gamma 120.00
loop_
_atom_site_label
_atom_site_fract_x
_atom_site_fract_y
_atom_site_fract_z
Pa1 0.0000 0.0000 0.0000
Ti1 0.6667 0.3333 0.6747
Ru1 0.3333 0.6667 0.2857
```

Properties
Theoretical density: 11.7 Mg/m³

=====

Arrangement ii

The following is a DFT calculation (PBE) of a geometry-optimized PaTiRu structure.

Cell and atoms, written as CIF:
```
data_PaTiRu
_symmetry_space_group_name_H-M 'R -3 m'
_symmetry_Int_Tables_number 166
_symmetry_space_group_name_Hall '-R 3 2"'
_cell_length_a 3.6945
_cell_length_b 3.6945
_cell_length_c 31.3155
_cell_angle_alpha 90.00
_cell_angle_beta 90.00
_cell_angle_gamma 120.00
loop_
_atom_site_label
_atom_site_fract_x
_atom_site_fract_y
_atom_site_fract_z
Pa1 0.0000 0.0000 0.1262
Ti1 0.0000 0.0000 0.3018
Ru1 0.0000 0.0000 0.4054
```

Properties
Theoretical density: 10.2 Mg/m³

=====

Stability comparison, relative energies in eV/atom: arrangement i 0.000; arrangement ii 0.114